A plane-wave DFT calculation with GGA-PBE was carried out for PrBiAu4 after structural relaxation.

Properties
The value obtained for the theoretical density is 14.04 Mg/m³. Its total energy is -4.07 eV/atom. The formation energy is -0.444 eV/atom. As for the space group: F-43m.

Lattice parameters (Å, degrees): 5.751 5.751 5.751 60.00 60.00 60.00
Atoms (fractional coordinates):
1 Pr 0.000 0.000 0.000
2 Bi 0.750 0.750 0.750
3 Au 0.375 0.375 0.375
4 Au 0.375 0.375 0.875
5 Au 0.375 0.875 0.375
6 Au 0.875 0.375 0.375